BeCoSiHg | GGA-PBE | optimized geometry

Geometry as POSCAR:
```
BeCoSiHg
1.0
-2.8675 1.8786 2.4448
-0.5312 4.1720 -0.2030
-3.5022 1.5958 -1.7080
Si Be Co Hg
1 1 1 1
Direct
0.0000 0.0000 0.0000
0.5000 0.5000 0.5000
0.7500 0.7500 0.7500
0.2500 0.2500 0.2500
```

Values from the calculation:
As for the total energy: -3.648 eV per atom. As for the offset from the most stable computed form: 0.027 eV per atom. The calculation puts the magnetic moment at 0.0 Bohr magnetons per cell.

BeCoSnHg | GGA-PBE | optimized geometry

Geometry as POSCAR:
```
BeCoSnHg
1.0
0.0000 3.1542 3.1542
3.1542 0.0000 3.1542
3.1542 3.1542 0.0000
Be Hg Co Sn
1 1 1 1
Direct
0.2500 0.2500 0.2500
0.5000 0.5000 0.5000
0.7500 0.7500 0.7500
0.0000 0.0000 0.0000
```

Values from the calculation:
As for the total energy: -3.286 eV per atom. As for the offset from the most stable computed form: 0.000 eV per atom. The calculation puts the magnetic moment at 0.0 Bohr magnetons per cell.

BeZnCoHg | GGA-PBE | optimized geometry

Geometry as POSCAR:
```
BeZnCoHg
1.0
0.0000 2.9928 2.9928
2.9928 0.0000 2.9928
2.9928 2.9928 0.0000
Co Be Zn Hg
1 1 1 1
Direct
0.7500 0.7500 0.7500
0.5000 0.5000 0.5000
0.0000 0.0000 0.0000
0.2500 0.2500 0.2500
```

Values from the calculation:
As for the total energy: -2.800 eV per atom. As for the offset from the most stable computed form: 0.000 eV per atom. The calculation puts the magnetic moment at 0.9 Bohr magnetons per cell.